VASP calculation (GGA+U) on a relaxed VSiPO2 crystal.

The structure belongs to space group P4/mmm (No. 123); the cell edges are 3.4610, 3.4610 and 5.1753 Å and the angles 90.00°, 90.00° and 90.00°. The asymmetric unit holds V at (0.0000, 0.0000, 0.0000), Si at (0.5000, 0.5000, 0.5000), P at (0.5000, 0.5000, 0.0000) and O at (0.0000, 0.5000, 0.5000).

---

VASP calculation (GGA+U) on a relaxed VSiPO2 crystal.

The structure belongs to space group P4/mmm (No. 123); the cell edges are 3.6689, 3.6689 and 5.1920 Å and the angles 90.00°, 90.00° and 90.00°. The asymmetric unit holds V at (0.0000, 0.0000, 0.0000), Si at (0.5000, 0.5000, 0.5000), P at (0.0000, 0.0000, 0.5000) and O at (0.0000, 0.5000, 0.0000).

---

no.,calculated volume (Å³/f.u.),total energy (eV/atom)
1,62,-6.54
2,70,-6.29